First-principles (PBE) data for a relaxed structure of SiCl, as listed in the Alexandria database.

V: 348 Å³ per cell
polymorph energy (0 for the lowest one): 0.175 eV per atom
spin magnetization: 0.0 μB/cell

```
SiCl
1.0
10.1929 0.0000 0.0000
0.0000 9.0548 0.0000
0.0000 0.0000 3.7756
Si Cl
6 6
Direct
0.0000 0.1541 0.0000
0.2185 0.0691 0.9493
0.2815 0.9309 0.4493
0.5000 0.8459 0.5000
0.7185 0.9309 0.4493
0.7815 0.0691 0.9493
0.0000 0.3817 0.9898
0.1704 0.7395 0.4407
0.3296 0.2605 0.9407
0.5000 0.6183 0.4898
0.6704 0.2605 0.9407
0.8296 0.7395 0.4407
```